# 1
Below is a relaxed structure of Na5Sr6Hg, with properties calculated at the PBE level.

Summary:
Total magnetic moment ... 0.000 Bohr magnetons per cell
Electronic total energy ... -1.48 eV per atom

a b c (Å): 6.1728 9.1593 10.5887
angles (deg): 115.63 106.93 90.01
Fractional coordinates of all 12 atoms:
1 Na 0.3147 0.8147 0.6293
2 Na 0.6618 0.6618 0.3236
3 Na 0.0000 0.5000 0.0000
4 Na 0.3382 0.3382 0.6764
5 Na 0.6853 0.1853 0.3707
6 Hg 0.0000 0.0000 0.0000
7 Sr 0.1549 0.3838 0.3094
8 Sr 0.1546 0.9256 0.3095
9 Sr 0.4999 0.2139 0.0000
10 Sr 0.5001 0.7861 0.0000
11 Sr 0.8454 0.0744 0.6905
12 Sr 0.8451 0.6162 0.6906

=====

# 2
Below is a relaxed structure of NaSrHg, with properties calculated at the PBE level.

Summary:
Total magnetic moment ... 0.000 Bohr magnetons per cell
Offset from the most stable computed form ... 0 meV per atom
Electronic total energy ... -1.45 eV per atom

a b c (Å): 4.7256 4.7256 9.6524
angles (deg): 104.17 104.17 90.00
Fractional coordinates of all 6 atoms:
1 Na 0.5000 0.0000 0.0000
2 Na 0.0000 0.5000 0.0000
3 Sr 0.3220 0.3220 0.6439
4 Sr 0.6780 0.6780 0.3561
5 Hg 0.8700 0.8700 0.7399
6 Hg 0.1300 0.1300 0.2601

=====

# 3
Below is a relaxed structure of Na2SrHg2, with properties calculated at the PBE level.

Summary:
Total magnetic moment ... 0.000 Bohr magnetons per cell
Offset from the most stable computed form ... 40 meV per atom
Electronic total energy ... -1.24 eV per atom

a b c (Å): 8.4086 8.4086 4.5539
angles (deg): 90.00 90.00 90.00
Fractional coordinates of all 10 atoms:
1 Sr 0.0000 0.0000 0.0000
2 Sr 0.5000 0.5000 0.0000
3 Hg 0.3720 0.8720 0.0000
4 Hg 0.8720 0.6280 0.0000
5 Hg 0.6280 0.1280 0.0000
6 Hg 0.1280 0.3720 0.0000
7 Na 0.1604 0.6604 0.5000
8 Na 0.6604 0.8396 0.5000
9 Na 0.8396 0.3396 0.5000
10 Na 0.3396 0.1604 0.5000

=====

# 4
Below is a relaxed structure of NaSr4Hg2, with properties calculated at the PBE level.

Summary:
Total magnetic moment ... 0.000 Bohr magnetons per cell
Offset from the most stable computed form ... 0 meV per atom
Electronic total energy ... -1.49 eV per atom

a b c (Å): 5.7973 5.7973 9.8255
angles (deg): 72.84 72.84 60.00
Fractional coordinates of all 7 atoms:
1 Na 0.0000 0.0000 0.0000
2 Sr 0.8696 0.8696 0.3913
3 Sr 0.1304 0.1304 0.6087
4 Sr 0.6174 0.6174 0.1478
5 Sr 0.3826 0.3826 0.8522
6 Hg 0.7462 0.7462 0.7613
7 Hg 0.2538 0.2538 0.2387

=====

# 5
Below is a relaxed structure of NaSrHg2, with properties calculated at the PBE level.

Summary:
Total magnetic moment ... 0.000 Bohr magnetons per cell
Offset from the most stable computed form ... 232 meV per atom
Electronic total energy ... -1.05 eV per atom

a b c (Å): 5.2211 5.2211 10.9236
angles (deg): 76.17 76.17 90.00
Fractional coordinates of all 8 atoms:
1 Sr 0.0000 0.0000 0.0000
2 Sr 0.7500 0.2500 0.5000
3 Hg 0.5334 0.1250 0.2500
4 Hg 0.2166 0.6250 0.2500
5 Hg 0.3750 0.4666 0.7500
6 Hg 0.8750 0.7834 0.7500
7 Na 0.5000 0.5000 0.0000
8 Na 0.2500 0.7500 0.5000

=====

# 6
Below is a relaxed structure of Na4SrHg5, with properties calculated at the PBE level.

Summary:
Total magnetic moment ... 0.000 Bohr magnetons per cell
Electronic total energy ... -1.14 eV per atom

a b c (Å): 3.8840 3.8840 17.9839
angles (deg): 90.00 90.00 90.00
Fractional coordinates of all 10 atoms:
1 Na 0.0000 0.0000 0.2104
2 Na 0.0000 0.0000 0.4041
3 Na 0.0000 0.0000 0.5959
4 Na 0.0000 0.0000 0.7896
5 Sr 0.0000 0.0000 0.0000
6 Hg 0.5000 0.5000 0.1138
7 Hg 0.5000 0.5000 0.3074
8 Hg 0.5000 0.5000 0.5000
9 Hg 0.5000 0.5000 0.6926
10 Hg 0.5000 0.5000 0.8862

=====

Here are the calculated ΔE_f numbers, same order: -0.062, -0.348, -0.252, -0.252, -0.144, -0.293 (eV/atom).